No. 1
# PBE NdGdScIn, optimized geometry
data_NdGdScIn
_chemical_formula_sum 'Nd4 Gd4 Sc4 In4'
_space_group_name_H-M_alt 'P 1'
_space_group_IT_number 1
_cell_length_a 7.672
_cell_length_b 7.672
_cell_length_c 7.672
_cell_angle_alpha 90.00
_cell_angle_beta 90.00
_cell_angle_gamma 90.00
loop_
_space_group_symop_operation_xyz
'x,y,z'
loop_
_atom_site_label
_atom_site_fract_x
_atom_site_fract_y
_atom_site_fract_z
Nd1 0.000 0.000 0.000
Nd2 0.000 0.500 0.500
Nd3 0.500 0.000 0.500
Nd4 0.500 0.500 0.000
Gd1 0.000 0.000 0.500
Gd2 0.000 0.500 0.000
Gd3 0.500 0.000 0.000
Gd4 0.500 0.500 0.500
Sc1 0.250 0.250 0.750
Sc2 0.250 0.750 0.250
Sc3 0.750 0.250 0.250
Sc4 0.750 0.750 0.750
In1 0.250 0.250 0.250
In2 0.250 0.750 0.750
In3 0.750 0.250 0.750
In4 0.750 0.750 0.250
# energy relative to the elements: -0.1770 eV per atom

---

No. 2
# PBE NdGdInSn, optimized geometry
data_NdGdInSn
_chemical_formula_sum 'Nd4 Gd4 In4 Sn4'
_space_group_name_H-M_alt 'P 1'
_space_group_IT_number 1
_cell_length_a 7.684
_cell_length_b 7.684
_cell_length_c 7.684
_cell_angle_alpha 90.00
_cell_angle_beta 90.00
_cell_angle_gamma 90.00
loop_
_space_group_symop_operation_xyz
'x,y,z'
loop_
_atom_site_label
_atom_site_fract_x
_atom_site_fract_y
_atom_site_fract_z
Nd1 0.000 0.000 0.000
Nd2 0.000 0.500 0.500
Nd3 0.500 0.000 0.500
Nd4 0.500 0.500 0.000
Gd1 0.000 0.000 0.500
Gd2 0.000 0.500 0.000
Gd3 0.500 0.000 0.000
Gd4 0.500 0.500 0.500
In1 0.250 0.250 0.750
In2 0.250 0.750 0.250
In3 0.750 0.250 0.250
In4 0.750 0.750 0.750
Sn1 0.250 0.250 0.250
Sn2 0.250 0.750 0.750
Sn3 0.750 0.250 0.750
Sn4 0.750 0.750 0.250
# energy relative to the elements: -0.5405 eV per atom

---

No. 3
# PBE NdGdYIn, optimized geometry
data_NdGdYIn
_chemical_formula_sum 'Nd4 Gd4 Y4 In4'
_space_group_name_H-M_alt 'P 1'
_space_group_IT_number 1
_cell_length_a 7.804
_cell_length_b 7.804
_cell_length_c 7.804
_cell_angle_alpha 90.00
_cell_angle_beta 90.00
_cell_angle_gamma 90.00
loop_
_space_group_symop_operation_xyz
'x,y,z'
loop_
_atom_site_label
_atom_site_fract_x
_atom_site_fract_y
_atom_site_fract_z
Nd1 0.000 0.000 0.000
Nd2 0.000 0.500 0.500
Nd3 0.500 0.000 0.500
Nd4 0.500 0.500 0.000
Gd1 0.250 0.250 0.250
Gd2 0.250 0.750 0.750
Gd3 0.750 0.250 0.750
Gd4 0.750 0.750 0.250
Y1 0.000 0.000 0.500
Y2 0.000 0.500 0.000
Y3 0.500 0.000 0.000
Y4 0.500 0.500 0.500
In1 0.250 0.250 0.750
In2 0.250 0.750 0.250
In3 0.750 0.250 0.250
In4 0.750 0.750 0.750
# energy relative to the elements: -0.1714 eV per atom

---

No. 4
# PBE GdInNi2, optimized geometry
data_GdInNi2
_chemical_formula_sum 'Gd1 In1 Ni2'
_space_group_name_H-M_alt 'P 1'
_space_group_IT_number 1
_cell_length_a 4.594
_cell_length_b 4.594
_cell_length_c 3.362
_cell_angle_alpha 90.00
_cell_angle_beta 90.00
_cell_angle_gamma 90.00
loop_
_space_group_symop_operation_xyz
'x,y,z'
loop_
_atom_site_label
_atom_site_fract_x
_atom_site_fract_y
_atom_site_fract_z
Gd1 0.000 0.000 0.000
In1 0.500 0.500 0.000
Ni1 0.000 0.500 0.500
Ni2 0.500 0.000 0.500
# energy relative to the elements: -0.2261 eV per atom